6
Lattice="-0.9676 -3.4384 2.9424 5.3536 -4.1534 -3.0931 7.2320 -1.7513 0.3318" Properties=species:S:1:pos:R:3 comment="HoErIn4, optimized geometry, DFT PBE-GGA" total_energy_ev_per_atom=-3.770 pbc="T T T"
In 5.8099 -4.6720 0.0904
Ho 4.3342 -2.0334 -0.9509
In 9.8884 -6.5855 -0.8045
Er 8.2509 -3.8710 -1.8103
In 0.0000 0.0000 0.0000
In 1.7284 -2.7571 0.9859

***

3
Lattice="4.4269 -0.6113 -0.2371 1.6562 -4.0824 -0.7862 1.9250 -0.9141 -3.9352" Properties=species:S:1:pos:R:3 comment="HoBeCd, optimized geometry, DFT PBE-GGA" de_polymorph_mev_per_atom=0 pbc="T T T"
Cd 2.0020 -1.4019 -1.2396
Ho 6.0061 -4.2058 -3.7188
Be 0.0000 0.0000 0.0000

***

7
Lattice="5.9716 0.0000 0.0000 0.0000 5.9716 0.0000 0.0000 0.0000 5.9469" Properties=species:S:1:pos:R:3 comment="La2PrAlCl3, optimized geometry, DFT PBE-GGA" total_energy_ev_per_atom=-4.904 pbc="T T T"
Pr 0.0000 0.0000 0.0000
Cl 2.9858 2.9858 2.9735
La 0.0000 2.9858 2.9735
Al 0.0000 0.0000 2.9735
La 2.9858 0.0000 2.9735
Cl 0.0000 2.9858 0.0000
Cl 2.9858 0.0000 0.0000

***

3
Lattice="-3.0757 -4.4169 -0.1191 -2.4209 -1.7163 4.4919 -5.3425 0.4256 0.5095" Properties=species:S:1:pos:R:3 comment="RbBaCo, optimized geometry, DFT PBE-GGA" de_polymorph_mev_per_atom=0 pbc="T T T"
Ba -2.7098 -1.4269 1.2206
Co 0.0000 0.0000 0.0000
Rb -8.1293 -4.2807 3.6617

***

11
Lattice="-1.1352 -8.2863 9.1272 -6.6311 -7.9057 6.8400 4.5735 5.8976 -9.8772" Properties=species:S:1:pos:R:3 comment="PrNd2Cu2Si4Pd2, optimized geometry, DFT PBE-GGA" de_polymorph_mev_per_atom=5 pbc="T T T"
Si 0.2059 -4.3495 2.7363
Cu -4.1588 -7.5299 4.9166
Si -3.3986 -5.9449 3.3537
Nd -2.1669 -3.3769 0.8213
Pr 0.0000 0.0000 0.0000
Si -3.4928 -7.2822 7.1811
Pd -5.8316 -12.1583 11.9895
Nd -1.0259 -6.9175 5.2687
Pd -1.9347 -4.0337 3.9777
Cu 0.9661 -2.7645 1.1734
Si -4.2734 -8.9097 8.7860

***

3
Lattice="2.2698 1.3105 3.7066 -2.2698 1.3105 3.7066 0.0000 -2.6209 3.7066" Properties=species:S:1:pos:R:3 comment="PaIrPt, optimized geometry, DFT PBE-GGA" formation_enthalpy_0k_mev_per_atom=-539.6 de_polymorph_mev_per_atom=0 pbc="T T T"
Ir 0.0000 0.0000 0.0000
Pa 0.0000 0.0000 8.3398
Pt 0.0000 0.0000 2.7799

***

11
Lattice="-2.4272 2.4272 11.6730 2.4272 -2.4272 11.6730 2.4272 2.4272 -11.6730" Properties=species:S:1:pos:R:3 comment="Gd3Ta2As6, optimized geometry, DFT PBE-GGA" total_energy_ev_per_atom=-6.666 pbc="T T T"
Ta 0.0000 0.0000 14.2720
Gd 0.0000 0.0000 0.0000
As 0.0000 2.4272 9.8056
As 0.0000 0.0000 16.6613
Gd 0.0000 0.0000 19.5555
Gd 0.0000 0.0000 3.7905
As 0.0000 0.0000 6.6847
As 2.4272 0.0000 1.8674
As 2.4272 0.0000 9.8056
As 0.0000 2.4272 1.8674
Ta 0.0000 0.0000 9.0739

***

24
Lattice="-8.5303 5.5682 -1.4009 -1.5778 -1.4360 3.8999 7.0545 12.7021 7.5312" Properties=species:S:1:pos:R:3 comment="YTe3PbAu, optimized geometry, DFT PBE-GGA" de_polymorph_mev_per_atom=36 pbc="T T T"
Te -4.0524 7.2569 2.2993
Pb -0.0950 11.2649 5.3762
Y -2.9882 1.7348 0.6965
Te -0.1808 7.6212 3.9999
Te -4.4066 3.0599 3.1441
Pb -8.1701 6.6495 2.9433
Au -5.0561 4.9167 1.0316
Te -2.8728 9.2131 6.0304
Y -0.0653 15.0995 9.3337
Te 3.7482 7.6233 5.5902
Te 4.4845 11.9965 10.0318
Y -4.0527 10.2818 3.4130
Pb -2.9586 5.5694 4.6540
Te -0.5222 3.1497 2.2152
Y 0.9992 6.5525 6.6172
Au -3.9696 11.6281 6.4759
Te 0.9989 9.5773 7.7309
Te -2.5314 13.6846 7.8150
Te 1.3530 13.7744 6.8861
Au 2.0025 11.9175 8.9986
Te -7.5380 4.8378 -0.0016
Te -6.8017 9.2110 4.4400
Au 0.9161 5.2062 3.5544
Pb 5.1166 10.1847 7.0870